1.
A relaxed structure of TcBH3, computed with PBE-GGA.

Lattice parameters (Å, degrees): 3.0490 3.0490 3.0490 90.00 90.00 90.00
Positions (direct):
H1 0.0000 0.0000 0.5000
H2 0.5000 0.0000 0.0000
H3 0.0000 0.5000 0.0000
Tc1 0.5000 0.5000 0.5000
B1 0.0000 0.0000 0.0000

=====

2.
A relaxed structure of TcBH3, computed with PBE-GGA.

Lattice parameters (Å, degrees): 3.3367 3.3367 3.3367 90.00 90.00 90.00
Positions (direct):
Tc1 0.0000 0.0000 0.0000
H1 0.5000 0.0000 0.0000
H2 0.0000 0.0000 0.5000
H3 0.0000 0.5000 0.0000
B1 0.5000 0.5000 0.5000

=====

Short version: 1 is the most stable of them.

=====

1.
A relaxed structure of Tc2BH2, computed with PBE-GGA.

Lattice parameters (Å, degrees): 2.8508 2.8508 5.4097 74.72 74.72 90.00
Positions (direct):
B1 0.0000 0.0000 0.0000
H1 0.2500 0.7500 0.5000
H2 0.7500 0.2500 0.5000
Tc1 0.6259 0.6259 0.7483
Tc2 0.3741 0.3741 0.2517

=====

2.
A relaxed structure of Tc2BH2, computed with PBE-GGA.

Lattice parameters (Å, degrees): 5.5982 5.5982 3.1149 90.00 90.00 90.00
Positions (direct):
H1 0.7421 0.7579 0.5000
H2 0.2579 0.2421 0.5000
H3 0.7579 0.2579 0.5000
H4 0.2421 0.7421 0.5000
Tc1 0.8503 0.6497 0.0000
Tc2 0.1497 0.3503 0.0000
Tc3 0.3503 0.8503 0.0000
Tc4 0.6497 0.1497 0.0000
B1 0.0000 0.0000 0.0000
B2 0.5000 0.5000 0.0000

=====

Short version: 1 is the most stable of them.

=====

1.
A relaxed structure of TcB2H2, computed with PBE-GGA.

Lattice parameters (Å, degrees): 2.8968 2.8968 4.2358 70.00 70.00 90.00
Positions (direct):
H1 0.4297 0.4297 0.1406
H2 0.5703 0.5703 0.8594
B1 0.7500 0.2500 0.5000
B2 0.2500 0.7500 0.5000
Tc1 0.0000 0.0000 0.0000

=====

2.
A relaxed structure of TcB2H2, computed with PBE-GGA.

Lattice parameters (Å, degrees): 4.8559 4.8559 2.9676 90.00 90.00 90.00
Positions (direct):
H1 0.8438 0.3438 0.0000
H2 0.3438 0.1562 0.0000
H3 0.6562 0.8438 0.0000
H4 0.1562 0.6562 0.0000
Tc1 0.0000 0.0000 0.0000
Tc2 0.5000 0.5000 0.0000
B1 0.8781 0.3781 0.5000
B2 0.1219 0.6219 0.5000
B3 0.6219 0.8781 0.5000
B4 0.3781 0.1219 0.5000

=====

Short version: 1 is the most stable of them.